(1)
DFT (PBE) results for crystalline Cs2MgTeI6 at its relaxed geometry.

extended XYZ file:
```
10
Lattice="-7.257 -4.617 0.332 3.264 -5.542 -5.720 0.521 -8.681 2.232" Properties=species:S:1:pos:R:3 pbc="T T T"
I 0.697 -5.316 -4.243
Cs -4.366 -9.189 -0.065
I -0.956 -6.568 -0.657
Te 0.000 0.000 0.000
I -3.018 -7.681 -4.073
I -2.516 -12.272 -2.498
I -0.974 -2.479 -1.315
I -4.690 -4.843 -1.144
Cs 0.895 -9.651 -3.091
Mg -1.996 -5.080 -2.694
```

Results
Spin magnetization in μB/atom: 0.00
Crystal system: tetragonal
N(E_F) in states/eV/atom: 0.000
Formation energy from raw total energies in eV/f.u.: -8.89

(2)
DFT (PBE) results for crystalline CsThMg2I8 at its relaxed geometry.

extended XYZ file:
```
12
Lattice="-2.856 2.504 6.642 2.608 -2.852 6.604 8.050 8.176 4.785" Properties=species:S:1:pos:R:3 pbc="T T T"
I 2.879 -0.643 8.817
I 0.244 2.032 6.794
Th 0.000 0.000 0.000
Mg 1.866 1.871 4.504
I 7.565 5.981 6.976
I 0.237 1.848 11.055
I 7.558 5.797 11.237
I 3.734 3.775 4.589
I 4.923 8.471 9.214
I 4.068 4.053 13.442
Mg 5.936 5.958 13.527
Cs 3.901 3.914 9.016
```

Results
Spin magnetization in μB/atom: 0.09
Crystal system: trigonal
N(E_F) in states/eV/atom: 0.447
Formation energy from raw total energies in eV/f.u.: -12.66

(3)
DFT (PBE) results for crystalline CsMgTl2I at its relaxed geometry.

extended XYZ file:
```
5
Lattice="-0.583 -1.136 -6.970 1.980 -6.751 0.935 -6.780 -1.868 0.872" Properties=species:S:1:pos:R:3 pbc="T T T"
Tl -0.292 -0.568 -3.485
Mg 0.990 -3.376 0.467
Tl -3.390 -0.934 0.436
Cs 0.000 0.000 0.000
I -2.692 -4.877 -2.582
```

Results
Spin magnetization in μB/atom: 0.00
Crystal system: tetragonal
N(E_F) in states/eV/atom: 1.043
Formation energy from raw total energies in eV/f.u.: 2.80

(4)
DFT (PBE) results for crystalline Cs2Mg2TlI7 at its relaxed geometry.

extended XYZ file:
```
12
Lattice="5.881 -0.003 0.016 0.004 5.881 0.016 2.907 2.904 15.222" Properties=species:S:1:pos:R:3 pbc="T T T"
I 2.937 5.867 2.757
Tl 0.000 0.000 0.000
I 2.926 2.922 5.857
I 5.870 2.930 2.757
I 2.922 5.852 12.496
Cs 5.871 5.864 5.454
I 5.867 5.860 9.396
Mg 2.920 2.917 2.990
I 2.942 2.939 0.016
Cs 2.921 2.918 9.799
I 5.856 2.915 12.496
Mg 5.872 5.865 12.264
```

Results
Spin magnetization in μB/atom: 0.00
Crystal system: monoclinic
N(E_F) in states/eV/atom: 0.000
Formation energy from raw total energies in eV/f.u.: -13.20

(5)
DFT (PBE) results for crystalline Cs3Mg2TlI9 at its relaxed geometry.

extended XYZ file:
```
15
Lattice="8.552 0.000 0.000 -4.276 7.406 0.000 0.000 0.000 10.492" Properties=species:S:1:pos:R:3 pbc="T T T"
Mg 0.000 4.937 1.633
I 4.276 0.000 0.000
I 2.138 3.703 0.000
I 2.031 6.110 3.421
Cs 4.276 2.469 3.504
I 4.276 4.814 7.071
Cs 0.000 0.000 0.000
Cs 0.000 4.937 6.988
I 6.307 1.296 7.071
I -2.031 6.110 3.421
I 0.000 2.592 3.421
Tl 0.000 0.000 5.246
I -2.138 3.703 0.000
Mg 4.276 2.469 8.859
I 2.244 1.296 7.071
```

Results
Spin magnetization in μB/atom: 0.00
Crystal system: trigonal
N(E_F) in states/eV/atom: 0.213
Formation energy from raw total energies in eV/f.u.: -16.12

(6)
DFT (PBE) results for crystalline Cs2MgTlI6 at its relaxed geometry.

extended XYZ file:
```
10
Lattice="-8.328 -2.158 -0.915 1.380 -7.242 4.526 -4.814 -1.722 6.980" Properties=species:S:1:pos:R:3 pbc="T T T"
Cs -3.454 -6.832 6.656
I -7.645 -7.852 6.302
Tl 0.000 0.000 0.000
Cs -8.308 -4.290 3.936
I -1.142 -5.922 3.113
I -5.143 -6.959 2.674
I -4.118 -3.270 4.290
I -5.806 -3.479 0.499
Mg -3.474 -4.700 1.806
I -1.805 -2.442 0.938
```

Results
Spin magnetization in μB/atom: 0.00
Crystal system: cubic
N(E_F) in states/eV/atom: 0.406
ΔE to the lowest computed polymorph in kJ per mole of atoms: 0.56
Formation energy from raw total energies in eV/f.u.: -10.13

(7)
DFT (PBE) results for crystalline Cs2MgTlI6 at its relaxed geometry.

extended XYZ file:
```
20
Lattice="-2.991 6.898 4.099 -8.082 -2.038 -2.469 -1.446 -6.658 10.228" Properties=species:S:1:pos:R:3 pbc="T T T"
Mg -1.496 3.449 2.049
Tl -2.219 0.120 7.163
I -2.295 0.948 0.728
I -5.737 -2.200 12.102
I -2.501 -2.028 9.596
Cs -4.476 1.708 11.567
Cs -7.105 -2.590 8.418
I -3.075 -2.208 5.074
Tl -4.041 -1.019 -1.235
I -10.225 -2.746 11.129
Mg -4.764 -4.348 3.879
I -10.019 0.230 2.261
I -7.176 3.766 5.339
I -6.783 0.402 -0.245
I -7.134 -2.646 4.232
I -5.344 -5.564 6.518
I -5.385 0.848 7.626
I -9.445 0.410 6.783
Cs -5.414 0.792 3.439
Cs -8.044 -3.506 0.290
```

Results
Spin magnetization in μB/atom: 0.00
Crystal system: monoclinic
N(E_F) in states/eV/atom: 0.519
ΔE to the lowest computed polymorph in kJ per mole of atoms: 0.00
Formation energy from raw total energies in eV/f.u.: -10.18

(8)
DFT (PBE) results for crystalline CsMgUI6 at its relaxed geometry.

extended XYZ file:
```
18
Lattice="7.927 0.000 0.000 -3.963 6.865 0.000 0.000 0.000 17.271" Properties=species:S:1:pos:R:3 pbc="T T T"
I 6.353 2.498 2.566
I 4.976 0.114 6.069
I 2.950 0.114 2.566
I 1.376 2.612 14.705
Mg 0.000 4.576 12.953
U 3.963 2.288 12.953
Cs 0.000 0.000 8.635
Cs 0.000 0.000 0.000
I -1.376 2.612 11.202
U 0.000 4.576 4.318
I 1.574 2.498 6.069
I 2.587 4.253 2.566
I 5.340 4.253 6.069
I 1.013 6.751 14.705
I -2.390 4.367 14.705
I -1.013 6.751 11.202
I 2.390 4.367 11.202
Mg 3.963 2.288 4.318
```

Results
Spin magnetization in μB/atom: 0.33
Crystal system: trigonal
N(E_F) in states/eV/atom: 0.065
Formation energy from raw total energies in eV/f.u.: -9.44

The highest spin magnetization belongs to which entry?
CsMgUI6